# 1
The following is a DFT calculation (PBE) of a relaxed structure of ZrTa2Ir.

Structure (CIF):
```
data_ZrTa2Ir
_chemical_formula_sum 'Zr4 Ta8 Ir4'
_cell_length_a 7.6274
_cell_length_b 7.6274
_cell_length_c 5.4956
_cell_angle_alpha 90.00
_cell_angle_beta 90.00
_cell_angle_gamma 90.00
_space_group_name_H-M_alt 'I -4 2 d'
_space_group_IT_number 122
_space_group_name_Hall 'I -4 2bw'
loop_
_atom_site_label
_atom_site_type_symbol
_atom_site_fract_x
_atom_site_fract_y
_atom_site_fract_z
Zr1 Zr 0.0000 0.0000 0.0000
Ta1 Ta 0.2114 0.2500 0.6250
Ir1 Ir 0.0000 0.0000 0.5000
```


# 2
The following is a DFT calculation (PBE) of a relaxed structure of LaAlCd2.

Structure (CIF):
```
data_LaAlCd2
_chemical_formula_sum 'La1 Al1 Cd2'
_cell_length_a 3.3682
_cell_length_b 4.9777
_cell_length_c 6.1021
_cell_angle_alpha 90.00
_cell_angle_beta 90.00
_cell_angle_gamma 90.00
_space_group_name_H-M_alt 'P m m m'
_space_group_IT_number 47
loop_
_space_group_symop_operation_xyz
'x,y,z'
'-x,-y,-z'
'-x,-y,z'
'x,y,-z'
'x,-y,-z'
'-x,y,z'
'-x,y,-z'
'x,-y,z'
loop_
_atom_site_label
_atom_site_type_symbol
_atom_site_fract_x
_atom_site_fract_y
_atom_site_fract_z
La1 La 0.0000 0.0000 0.0000
Al1 Al 0.5000 0.0000 0.5000
Cd1 Cd 0.5000 0.5000 0.2575
```


# 3
# SmAgPt, relaxed, DFT PBE
# Distance to the lowest polymorph of the same formula   0.161 eV per atom
data_SmAgPt
_chemical_formula_sum 'Sm1 Ag1 Pt1'
_cell_length_a 4.6363
_cell_length_b 4.6363
_cell_length_c 3.5872
_cell_angle_alpha 90.00
_cell_angle_beta 90.00
_cell_angle_gamma 120.00
_space_group_name_H-M_alt 'P 3 m 1'
_space_group_IT_number 156
loop_
_space_group_symop_operation_xyz
'x,y,z'
'-y,x-y,z'
'-x+y,-x,z'
'-y,-x,z'
'-x+y,y,z'
'x,x-y,z'
loop_
_atom_site_label
_atom_site_type_symbol
_atom_site_fract_x
_atom_site_fract_y
_atom_site_fract_z
Sm1 Sm 0.0000 0.0000 0.0000
Ag1 Ag 0.3333 0.6667 0.4995
Pt1 Pt 0.6667 0.3333 0.5012


| no. | formation enthalpy at 0 K (meV per atom) | DFT total energy (eV/atom) |
| --- | --- | --- |
| 1 | 149 | -10.130 |
| 2 | -173 | -2.798 |
| 3 | -622 | -5.160 |